(1)
An optimized crystal structure of Dy19Er4Th6, computed with GGA-PBE.

Output
Energy of formation in kcal/mol of atoms: 9.62
Calculated total energy in eV/atom: -4.76

Cell and atoms, written as CIF:
```
data_Dy19Er4Th6
_chemical_formula_sum 'Dy38 Er8 Th12'
_space_group_name_H-M_alt 'I 2 3'
_space_group_IT_number 197
_space_group_name_Hall 'I 2 2 3'
_cell_length_a 12.414
_cell_length_b 12.414
_cell_length_c 12.414
_cell_angle_alpha 90.00
_cell_angle_beta 90.00
_cell_angle_gamma 90.00
loop_
_atom_site_label
_atom_site_type_symbol
_atom_site_fract_x
_atom_site_fract_y
_atom_site_fract_z
Dy1 Dy 0.000 0.000 0.000
Dy2 Dy 0.000 0.000 0.265
Dy3 Dy 0.066 0.277 0.742
Er1 Er 0.178 0.178 0.178
Th1 Th 0.000 0.130 0.500
```

=====

(2)
An optimized crystal structure of Sr2CdAg16, computed with GGA-PBE.

Output
Energy of formation in kcal/mol of atoms: -2.49
Calculated total energy in eV/atom: -2.73

Cell and atoms, written as CIF:
```
data_Sr2CdAg16
_chemical_formula_sum 'Sr6 Cd3 Ag48'
_space_group_name_H-M_alt 'R 3 m'
_space_group_IT_number 160
_space_group_name_Hall 'R 3 -2"'
_cell_length_a 9.7744
_cell_length_b 9.7744
_cell_length_c 14.3604
_cell_angle_alpha 90.00
_cell_angle_beta 90.00
_cell_angle_gamma 120.00
loop_
_atom_site_label
_atom_site_type_symbol
_atom_site_fract_x
_atom_site_fract_y
_atom_site_fract_z
Sr1 Sr 0.0000 0.0000 0.0000
Sr2 Sr 0.0000 0.0000 0.3147
Cd1 Cd 0.0000 0.0000 0.5635
Ag1 Ag 0.0000 0.0000 0.7599
Ag2 Ag 0.9999 0.3002 0.6606
Ag3 Ag 0.0001 0.5000 0.5064
Ag4 Ag 0.0020 0.5010 0.8138
Ag5 Ag 0.1671 0.3341 0.4935
```

=====

(3)
An optimized crystal structure of Sr2AcAu6, computed with GGA-PBE.

Output
Polymorph energy (0 for the lowest one) in meV/atom: 103
Energy of formation in kcal/mol of atoms: -15.35
Calculated total energy in eV/atom: -3.68

Cell and atoms, written as CIF:
```
data_Sr2AcAu6
_chemical_formula_sum 'Sr4 Ac2 Au12'
_space_group_name_H-M_alt 'I m m m'
_space_group_IT_number 71
_space_group_name_Hall '-I 2 2'
_cell_length_a 3.910
_cell_length_b 8.106
_cell_length_c 15.052
_cell_angle_alpha 90.00
_cell_angle_beta 90.00
_cell_angle_gamma 90.00
loop_
_atom_site_label
_atom_site_type_symbol
_atom_site_fract_x
_atom_site_fract_y
_atom_site_fract_z
Sr1 Sr 0.000 0.000 0.144
Ac1 Ac 0.000 0.500 0.000
Au1 Au 0.000 0.180 0.329
Au2 Au 0.000 0.322 0.500
```

=====

What is the formula in the third record?
Sr2AcAu6

=====

Among the records above, which one has the highest calculated total energy?
Sr2CdAg16